# 1
Below is a geometry-optimized Ti2GaAg structure, with properties calculated at the PBE-GGA level.

Computed properties:
- SG = P4/mmm, No. 123
- density of states at the Fermi level (states/eV/atom) = 1.18
- calculated volume (Å³/cell) = 66

Geometry as POSCAR:
```
Ti2GaAg
1.0
-0.060 2.856 0.377
-0.996 0.333 -2.683
-7.432 -0.512 2.694
Ga Ag Ti
1 1 2
Direct
0.500 0.500 0.000
0.500 0.500 0.500
0.000 0.000 0.763
0.000 0.000 0.237
```


# 2
Below is a geometry-optimized Ti2Ga2Ag structure, with properties calculated at the PBE-GGA level.

Computed properties:
- SG = P4/mbm, No. 127
- density of states at the Fermi level (states/eV/atom) = 1.17
- calculated volume (Å³/cell) = 166

Geometry as POSCAR:
```
Ti2Ga2Ag
1.0
6.857 0.000 0.000
0.000 6.857 0.000
0.000 0.000 3.537
Ga Ag Ti
4 2 4
Direct
0.372 0.872 0.000
0.872 0.628 0.000
0.628 0.128 0.000
0.128 0.372 0.000
0.000 0.000 0.000
0.500 0.500 0.000
0.173 0.673 0.500
0.673 0.827 0.500
0.827 0.327 0.500
0.327 0.173 0.500
```


# 3
Below is a geometry-optimized YTiGaAg structure, with properties calculated at the PBE-GGA level.

Computed properties:
- SG = F-43m, No. 216
- density of states at the Fermi level (states/eV/atom) = 0.58
- calculated volume (Å³/cell) = 81

Geometry as POSCAR:
```
YTiGaAg
1.0
-4.108 -2.603 -0.100
0.058 -4.686 1.300
-2.097 -1.396 4.161
Y Ga Ag Ti
1 1 1 1
Direct
0.750 0.750 0.750
0.500 0.500 0.500
0.000 0.000 0.000
0.250 0.250 0.250
```


# 4
Below is a geometry-optimized ZrTiGa2Ag structure, with properties calculated at the PBE-GGA level.

Computed properties:
- SG = P4/mmm, No. 123
- density of states at the Fermi level (states/eV/atom) = 0.93
- calculated volume (Å³/cell) = 110

Geometry as POSCAR:
```
ZrTiGa2Ag
1.0
4.687 0.000 0.000
0.000 4.999 0.000
0.000 0.000 4.687
Ga Zr Ag Ti
2 1 1 1
Direct
0.000 0.000 0.500
0.500 0.000 0.000
0.500 0.500 0.500
0.000 0.000 0.000
0.000 0.500 0.000
```


# 5
Below is a geometry-optimized TlGa4Ag structure, with properties calculated at the PBE-GGA level.

Computed properties:
- SG = F-43m, No. 216
- density of states at the Fermi level (states/eV/atom) = 0.36
- calculated volume (Å³/cell) = 127

Geometry as POSCAR:
```
TlGa4Ag
1.0
-4.012 -0.839 -3.880
1.405 -1.751 -5.179
-1.278 -5.244 -1.650
Tl Ga Ag
1 4 1
Direct
0.250 0.250 0.250
0.626 0.626 0.123
0.626 0.123 0.626
0.626 0.626 0.626
0.123 0.626 0.626
0.000 0.000 0.000
```


# 6
Below is a geometry-optimized TlGa2Ag2 structure, with properties calculated at the PBE-GGA level.

Computed properties:
- SG = P4/mbm, No. 127
- density of states at the Fermi level (states/eV/atom) = 0.37
- calculated volume (Å³/cell) = 206

Geometry as POSCAR:
```
TlGa2Ag2
1.0
8.257 0.000 0.000
0.000 8.257 0.000
0.000 0.000 3.025
Tl Ga Ag
2 4 4
Direct
0.000 0.000 0.000
0.500 0.500 0.000
0.168 0.668 0.500
0.668 0.832 0.500
0.832 0.332 0.500
0.332 0.168 0.500
0.372 0.872 0.000
0.872 0.628 0.000
0.628 0.128 0.000
0.128 0.372 0.000
```


# 7
Below is a geometry-optimized TlGa2Ag structure, with properties calculated at the PBE-GGA level.

Computed properties:
- SG = R-3m, No. 166
- density of states at the Fermi level (states/eV/atom) = 0.26
- calculated volume (Å³/cell) = 88

Geometry as POSCAR:
```
TlGa2Ag
1.0
3.109 0.000 0.000
1.555 2.693 0.000
1.555 0.898 10.521
Tl Ga Ag
1 2 1
Direct
0.000 0.000 0.000
0.096 0.096 0.713
0.904 0.904 0.287
0.500 0.500 0.500
```


# 8
Below is a geometry-optimized TlGa2Ag2 structure, with properties calculated at the PBE-GGA level.

Computed properties:
- SG = I4/mmm, No. 139
- density of states at the Fermi level (states/eV/atom) = 0.40
- calculated volume (Å³/cell) = 106

Geometry as POSCAR:
```
TlGa2Ag2
1.0
3.976 0.000 0.000
0.000 3.976 0.000
1.988 1.988 6.695
Tl Ga Ag
1 2 2
Direct
0.000 0.000 0.000
0.750 0.250 0.500
0.250 0.750 0.500
0.393 0.393 0.214
0.607 0.607 0.786
```


# 9
Below is a geometry-optimized TlGa2Ag structure, with properties calculated at the PBE-GGA level.

Computed properties:
- SG = P4/mmm, No. 123
- density of states at the Fermi level (states/eV/atom) = 0.53
- calculated volume (Å³/cell) = 87

Geometry as POSCAR:
```
TlGa2Ag
1.0
-0.462 -3.226 0.634
1.868 -0.784 -2.631
6.463 -0.022 4.597
Tl Ga Ag
1 2 1
Direct
0.500 0.500 0.500
0.000 0.000 0.796
0.000 0.000 0.204
0.500 0.500 0.000
```


# 10
Below is a geometry-optimized TlGa2Ag structure, with properties calculated at the PBE-GGA level.

Computed properties:
- SG = Fm-3m, No. 225
- density of states at the Fermi level (states/eV/atom) = 0.29
- calculated volume (Å³/cell) = 88

Geometry as POSCAR:
```
TlGa2Ag
1.0
0.000 3.524 3.524
3.524 0.000 3.524
3.524 3.524 0.000
Tl Ga Ag
1 2 1
Direct
0.500 0.500 0.500
0.250 0.250 0.250
0.750 0.750 0.750
0.000 0.000 0.000
```


# 11
Below is a geometry-optimized TlGa2Ag structure, with properties calculated at the PBE-GGA level.

Computed properties:
- SG = P4/mmm, No. 123
- density of states at the Fermi level (states/eV/atom) = 0.38
- calculated volume (Å³/cell) = 88

Geometry as POSCAR:
```
TlGa2Ag
1.0
3.033 0.000 0.000
0.000 5.384 0.000
0.000 0.000 5.384
Tl Ga Ag
1 2 1
Direct
0.500 0.500 0.500
0.000 0.000 0.500
0.000 0.500 0.000
0.500 0.000 0.000
```


# 12
Below is a geometry-optimized TlGa2Ag structure, with properties calculated at the PBE-GGA level.

Computed properties:
- SG = I-42d, No. 122
- density of states at the Fermi level (states/eV/atom) = 0.40
- calculated volume (Å³/cell) = 183

Geometry as POSCAR:
```
TlGa2Ag
1.0
4.409 0.000 0.000
0.000 4.409 0.000
2.204 2.204 9.399
Tl Ga Ag
2 4 2
Direct
0.000 0.000 0.000
0.750 0.250 0.500
0.562 0.125 0.250
0.188 0.625 0.250
0.375 0.438 0.750
0.875 0.812 0.750
0.500 0.500 0.000
0.250 0.750 0.500
```


Number 1: M_tot 0.12 μB per atom, formation energy from the elements -0.2096 eV/atom. Number 2: M_tot 0.00 μB per atom, formation energy from the elements -0.2704 eV/atom. Number 3: M_tot 0.34 μB per atom, formation energy from the elements -0.2362 eV/atom. Number 4: M_tot 0.00 μB per atom, formation energy from the elements 0.6300 eV/atom. Number 5: M_tot 0.00 μB per atom, formation energy from the elements 0.1224 eV/atom. Number 6: M_tot 0.00 μB per atom, formation energy from the elements 0.0663 eV/atom. Number 7: M_tot 0.00 μB per atom, formation energy from the elements 0.1176 eV/atom. Number 8: M_tot 0.00 μB per atom, formation energy from the elements 0.0714 eV/atom. Number 9: M_tot 0.00 μB per atom, formation energy from the elements 0.0872 eV/atom. Number 10: M_tot 0.00 μB per atom, formation energy from the elements 0.1634 eV/atom. Number 11: M_tot 0.00 μB per atom, formation energy from the elements 0.1797 eV/atom. Number 12: M_tot 0.00 μB per atom, formation energy from the elements 0.1525 eV/atom.